# PaTlAgHg GGA-PBE relaxed
# density: 12.940 Mg/m³
# calculated volume: 95.5 Å³ per cell
# VASP energy: -3.5898 eV/atom
# space-group type: F-43m, No. 216
data_PaTlAgHg
_chemical_formula_sum 'Pa1 Tl1 Ag1 Hg1'
_cell_length_a 5.130
_cell_length_b 5.130
_cell_length_c 5.130
_cell_angle_alpha 60.00
_cell_angle_beta 60.00
_cell_angle_gamma 60.00
_space_group_name_H-M_alt 'P 1'
_space_group_IT_number 1
loop_
_space_group_symop_operation_xyz
'x,y,z'
loop_
_atom_site_label
_atom_site_type_symbol
_atom_site_fract_x
_atom_site_fract_y
_atom_site_fract_z
Pa1 Pa 0.000 0.000 0.000
Tl1 Tl 0.250 0.250 0.250
Ag1 Ag 0.500 0.500 0.500
Hg1 Hg 0.750 0.750 0.750



# YPaAgHg GGA-PBE relaxed
# density: 10.370 Mg/m³
# calculated volume: 100.6 Å³ per cell
# VASP energy: -4.7394 eV/atom
# space-group type: F-43m, No. 216
data_YPaAgHg
_chemical_formula_sum 'Y1 Pa1 Ag1 Hg1'
_cell_length_a 5.221
_cell_length_b 5.221
_cell_length_c 5.221
_cell_angle_alpha 60.00
_cell_angle_beta 60.00
_cell_angle_gamma 60.00
_space_group_name_H-M_alt 'P 1'
_space_group_IT_number 1
loop_
_space_group_symop_operation_xyz
'x,y,z'
loop_
_atom_site_label
_atom_site_type_symbol
_atom_site_fract_x
_atom_site_fract_y
_atom_site_fract_z
Y1 Y 0.000 0.000 0.000
Pa1 Pa 0.500 0.500 0.500
Ag1 Ag 0.250 0.250 0.250
Hg1 Hg 0.750 0.750 0.750



# PaZnAgHg GGA-PBE relaxed
# density: 11.831 Mg/m³
# calculated volume: 84.9 Å³ per cell
# VASP energy: -3.3871 eV/atom
# space-group type: F-43m, No. 216
data_PaZnAgHg
_chemical_formula_sum 'Pa1 Zn1 Ag1 Hg1'
_cell_length_a 4.933
_cell_length_b 4.933
_cell_length_c 4.933
_cell_angle_alpha 60.00
_cell_angle_beta 60.00
_cell_angle_gamma 60.00
_space_group_name_H-M_alt 'P 1'
_space_group_IT_number 1
loop_
_space_group_symop_operation_xyz
'x,y,z'
loop_
_atom_site_label
_atom_site_type_symbol
_atom_site_fract_x
_atom_site_fract_y
_atom_site_fract_z
Pa1 Pa 0.000 0.000 0.000
Zn1 Zn 0.750 0.750 0.750
Ag1 Ag 0.500 0.500 0.500
Hg1 Hg 0.250 0.250 0.250



# Ag2HgPb GGA-PBE relaxed
# density: 11.330 Mg/m³
# calculated volume: 91.4 Å³ per cell
# VASP energy: -2.2876 eV/atom
# space-group type: Cm, No. 8
data_Ag2HgPb
_chemical_formula_sum 'Ag2 Hg1 Pb1'
_cell_length_a 3.284
_cell_length_b 3.284
_cell_length_c 9.622
_cell_angle_alpha 97.01
_cell_angle_beta 97.01
_cell_angle_gamma 62.83
_space_group_name_H-M_alt 'P 1'
_space_group_IT_number 1
loop_
_space_group_symop_operation_xyz
'x,y,z'
loop_
_atom_site_label
_atom_site_type_symbol
_atom_site_fract_x
_atom_site_fract_y
_atom_site_fract_z
Ag1 Ag 0.000 0.000 0.000
Ag2 Ag 0.181 0.181 0.528
Hg1 Hg 0.592 0.592 0.764
Pb1 Pb 0.441 0.441 0.264



# AgHg8Pb2 GGA-PBE relaxed
# density: 11.955 Mg/m³
# calculated volume: 295.4 Å³ per cell
# VASP energy: -1.0981 eV/atom
# space-group type: P4/mmm, No. 123
data_AgHg8Pb2
_chemical_formula_sum 'Ag1 Hg8 Pb2'
_cell_length_a 5.140
_cell_length_b 5.140
_cell_length_c 11.183
_cell_angle_alpha 90.00
_cell_angle_beta 90.00
_cell_angle_gamma 90.00
_space_group_name_H-M_alt 'P 1'
_space_group_IT_number 1
loop_
_space_group_symop_operation_xyz
'x,y,z'
loop_
_atom_site_label
_atom_site_type_symbol
_atom_site_fract_x
_atom_site_fract_y
_atom_site_fract_z
Ag1 Ag 0.000 0.000 0.000
Hg1 Hg 0.000 0.500 0.134
Hg2 Hg 0.000 0.500 0.500
Hg3 Hg 0.000 0.500 0.866
Hg4 Hg 0.500 0.000 0.134
Hg5 Hg 0.500 0.000 0.500
Hg6 Hg 0.500 0.000 0.866
Hg7 Hg 0.500 0.500 0.310
Hg8 Hg 0.500 0.500 0.690
Pb1 Pb 0.000 0.000 0.324
Pb2 Pb 0.000 0.000 0.676



# AgHgPb4 GGA-PBE relaxed
# density: 10.883 Mg/m³
# polymorph energy (0 for the lowest one): 0.000 eV per atom
# calculated volume: 347.0 Å³ per cell
# VASP energy: -2.9537 eV/atom
# space-group type: C2/c, No. 15
data_AgHgPb4
_chemical_formula_sum 'Ag2 Hg2 Pb8'
_cell_length_a 8.279
_cell_length_b 8.279
_cell_length_c 5.870
_cell_angle_alpha 101.22
_cell_angle_beta 101.22
_cell_angle_gamma 112.84
_space_group_name_H-M_alt 'P 1'
_space_group_IT_number 1
loop_
_space_group_symop_operation_xyz
'x,y,z'
loop_
_atom_site_label
_atom_site_type_symbol
_atom_site_fract_x
_atom_site_fract_y
_atom_site_fract_z
Ag1 Ag 0.009 0.991 0.750
Ag2 Ag 0.991 0.009 0.250
Hg1 Hg 0.380 0.620 0.750
Hg2 Hg 0.620 0.380 0.250
Pb1 Pb 0.057 0.697 0.415
Pb2 Pb 0.214 0.373 0.153
Pb3 Pb 0.303 0.943 0.085
Pb4 Pb 0.373 0.214 0.653
Pb5 Pb 0.627 0.786 0.347
Pb6 Pb 0.697 0.057 0.915
Pb7 Pb 0.786 0.627 0.847
Pb8 Pb 0.943 0.303 0.585



# AgHg2Pb GGA-PBE relaxed
# density: 11.533 Mg/m³
# calculated volume: 103.1 Å³ per cell
# VASP energy: -1.7090 eV/atom
# space-group type: Imm2, No. 44
data_AgHg2Pb
_chemical_formula_sum 'Ag1 Hg2 Pb1'
_cell_length_a 6.897
_cell_length_b 6.897
_cell_length_c 6.897
_cell_angle_alpha 151.71
_cell_angle_beta 138.21
_cell_angle_gamma 51.24
_space_group_name_H-M_alt 'P 1'
_space_group_IT_number 1
loop_
_space_group_symop_operation_xyz
'x,y,z'
loop_
_atom_site_label
_atom_site_type_symbol
_atom_site_fract_x
_atom_site_fract_y
_atom_site_fract_z
Ag1 Ag 0.000 0.000 0.000
Hg1 Hg 0.195 0.695 0.500
Hg2 Hg 0.495 0.495 0.000
Pb1 Pb 0.793 0.293 0.500



# AgHgPb2 GGA-PBE relaxed
# density: 11.218 Mg/m³
# calculated volume: 107.0 Å³ per cell
# VASP energy: -2.5913 eV/atom
# space-group type: Cmmm, No. 65
data_AgHgPb2
_chemical_formula_sum 'Ag1 Hg1 Pb2'
_cell_length_a 3.422
_cell_length_b 3.422
_cell_length_c 9.139
_cell_angle_alpha 90.00
_cell_angle_beta 90.00
_cell_angle_gamma 90.11
_space_group_name_H-M_alt 'P 1'
_space_group_IT_number 1
loop_
_space_group_symop_operation_xyz
'x,y,z'
loop_
_atom_site_label
_atom_site_type_symbol
_atom_site_fract_x
_atom_site_fract_y
_atom_site_fract_z
Ag1 Ag 0.000 0.000 0.000
Hg1 Hg 0.000 0.000 0.500
Pb1 Pb 0.500 0.500 0.217
Pb2 Pb 0.500 0.500 0.783